Entry 1:
# Cr3CdIn, optimized geometry, DFT PBE-GGA
# * uncorrected energy: -25.59 eV/f.u.
# * energy relative to the lowest polymorph listed for this composition: 0.000 eV/f.u.
# * calculated formation energy: 6.932 eV per formula unit
# * spin magnetization: 12.979 μB/f.u.
data_Cr3CdIn
_chemical_formula_sum 'Cr3 Cd1 In1'
_cell_length_a 5.144
_cell_length_b 5.144
_cell_length_c 5.144
_cell_angle_alpha 90.00
_cell_angle_beta 90.00
_cell_angle_gamma 90.00
_space_group_name_H-M_alt 'P m -3 m'
_space_group_IT_number 221
_space_group_name_Hall '-P 4 2 3'
loop_
_atom_site_label
_atom_site_type_symbol
_atom_site_fract_x
_atom_site_fract_y
_atom_site_fract_z
Cr1 Cr 0.000 0.000 0.500
Cd1 Cd 0.500 0.500 0.500
In1 In 0.000 0.000 0.000



Entry 2:
# CrCd2In, optimized geometry, DFT PBE-GGA
# * uncorrected energy: -12.99 eV/f.u.
# * calculated formation energy: 1.206 eV per formula unit
# * spin magnetization: 3.893 μB/f.u.
data_CrCd2In
_chemical_formula_sum 'Cr2 Cd4 In2'
_cell_length_a 6.005
_cell_length_b 8.517
_cell_length_c 3.328
_cell_angle_alpha 90.00
_cell_angle_beta 90.00
_cell_angle_gamma 90.00
_space_group_name_H-M_alt 'C m m m'
_space_group_IT_number 65
_space_group_name_Hall '-C 2 2'
loop_
_atom_site_label
_atom_site_type_symbol
_atom_site_fract_x
_atom_site_fract_y
_atom_site_fract_z
Cr1 Cr 0.000 0.000 0.000
Cd1 Cd 0.250 0.250 0.500
In1 In 0.000 0.500 0.000



Entry 3:
# Cr2CdIn, optimized geometry, DFT PBE-GGA
# * uncorrected energy: -20.58 eV/f.u.
# * calculated formation energy: 2.317 eV per formula unit
# * spin magnetization: 8.493 μB/f.u.
data_Cr2CdIn
_chemical_formula_sum 'Cr8 Cd4 In4'
_cell_length_a 6.785
_cell_length_b 6.785
_cell_length_c 6.785
_cell_angle_alpha 90.00
_cell_angle_beta 90.00
_cell_angle_gamma 90.00
_space_group_name_H-M_alt 'F -4 3 m'
_space_group_IT_number 216
_space_group_name_Hall 'F -4 2 3'
loop_
_atom_site_label
_atom_site_type_symbol
_atom_site_fract_x
_atom_site_fract_y
_atom_site_fract_z
Cr1 Cr 0.000 0.000 0.000
Cr2 Cr 0.250 0.250 0.250
Cd1 Cd 0.000 0.000 0.500
In1 In 0.250 0.250 0.750